1.
The following is a PBE calculation of a relaxed structure of CsEr2CuTe4, from OQMD via LeMat-Bulk.

## Properties
For the raw total energy, the calculation gives -4.40 eV/atom. The size of the total moment is 0.0000 μB/atom.

Unit cell a=8.064 b=8.064 c=15.488 alpha=90.00 beta=90.00 gamma=148.27
Fractional coordinates of all 16 atoms:
Cs (0.388, 0.612, 0.250)
Cs (0.612, 0.388, 0.750)
Cu (0.666, 0.334, 0.250)
Cu (0.334, 0.666, 0.750)
Er (0.133, 0.867, 0.064)
Er (0.133, 0.867, 0.436)
Er (0.867, 0.133, 0.564)
Er (0.867, 0.133, 0.936)
Te (0.500, 0.500, 0.000)
Te (0.760, 0.240, 0.107)
Te (0.074, 0.926, 0.250)
Te (0.760, 0.240, 0.393)
Te (0.500, 0.500, 0.500)
Te (0.240, 0.760, 0.607)
Te (0.926, 0.074, 0.750)
Te (0.240, 0.760, 0.893)

***

2.
The following is a PBE calculation of a relaxed structure of SmTmBe2Ge2, from OQMD via LeMat-Bulk.

## Properties
For the raw total energy, the calculation gives -4.97 eV/atom. The size of the total moment is 0.0004 μB/atom.

Unit cell a=3.926 b=3.926 c=8.152 alpha=90.00 beta=90.00 gamma=120.00
Fractional coordinates of all 6 atoms:
Be (0.667, 0.333, 0.257)
Be (0.333, 0.667, 0.743)
Ge (0.333, 0.667, 0.259)
Ge (0.667, 0.333, 0.741)
Sm (0.000, 0.000, 0.000)
Tm (0.000, 0.000, 0.500)

***

3.
The following is a PBE calculation of a relaxed structure of ZnFe2CoN, from OQMD via LeMat-Bulk.

## Properties
For the raw total energy, the calculation gives -6.79 eV/atom. The size of the total moment is 0.9799 μB/atom.

Unit cell a=3.767 b=3.767 c=3.780 alpha=90.00 beta=90.00 gamma=90.00
Last column: magnetic moment on the atom in μB.
Fractional coordinates of all 5 atoms:
Co (0.000, 0.000, 0.500)  0.99
Fe (0.500, 0.000, 0.000)  2.13
Fe (0.000, 0.500, 0.000)  1.91
N (0.000, 0.000, 0.000)  0.00
Zn (0.500, 0.500, 0.500)  -0.08

***

4.
The following is a PBE calculation of a relaxed structure of NdDyBC2, from OQMD via LeMat-Bulk.

## Properties
For the raw total energy, the calculation gives -7.25 eV/atom. The size of the total moment is 0.0005 μB/atom.

Unit cell a=3.727 b=3.727 c=6.069 alpha=107.28 beta=107.28 gamma=89.99
Fractional coordinates of all 5 atoms:
B (0.003, 0.003, 0.005)
C (0.139, 0.139, 0.274)
C (0.864, 0.864, 0.734)
Dy (0.347, 0.347, 0.700)
Nd (0.646, 0.646, 0.287)

***

5.
The following is a PBE calculation of a relaxed structure of Sc2Ag2Pb, from OQMD via LeMat-Bulk.

## Properties
For the raw total energy, the calculation gives -4.40 eV/atom. The size of the total moment is 0.0344 μB/atom.

Unit cell a=6.662 b=6.662 c=6.662 alpha=140.55 beta=140.55 gamma=57.01
Fractional coordinates of all 5 atoms:
Ag (0.389, 0.389, 0.000)
Ag (0.611, 0.611, 0.000)
Pb (0.000, 0.000, 0.000)
Sc (0.750, 0.250, 0.500)
Sc (0.250, 0.750, 0.500)

***

6.
The following is a PBE calculation of a relaxed structure of TbSnTe3Au, from OQMD via LeMat-Bulk.

## Properties
For the raw total energy, the calculation gives -4.19 eV/atom. The size of the total moment is 0.0000 μB/atom. As for the polymorph energy (0 for the lowest one): 0.031 eV per atom.

Unit cell a=10.183 b=10.183 c=8.775 alpha=100.90 beta=100.90 gamma=24.19
Fractional coordinates of all 12 atoms:
Au (0.446, 0.446, 0.286)
Au (0.554, 0.554, 0.714)
Sn (0.122, 0.122, 0.074)
Sn (0.878, 0.878, 0.926)
Tb (0.840, 0.840, 0.409)
Tb (0.160, 0.160, 0.591)
Te (0.500, 0.500, 0.000)
Te (0.311, 0.311, 0.146)
Te (0.678, 0.678, 0.348)
Te (0.000, 0.000, 0.500)
Te (0.322, 0.322, 0.652)
Te (0.689, 0.689, 0.854)

***

7.
The following is a PBE calculation of a relaxed structure of LiNbAl, from OQMD via LeMat-Bulk.

## Properties
For the raw total energy, the calculation gives -4.70 eV/atom. The size of the total moment is 0.0001 μB/atom. As for the polymorph energy (0 for the lowest one): 0.000 eV per atom.

Unit cell a=4.110 b=4.110 c=4.110 alpha=60.00 beta=60.00 gamma=60.00
Fractional coordinates of all 3 atoms:
Al (0.250, 0.250, 0.250)
Li (0.000, 0.000, 0.000)
Nb (0.750, 0.750, 0.750)

***

8.
The following is a PBE calculation of a relaxed structure of PuCuAu, from OQMD via LeMat-Bulk.

## Properties
As for the formation energy: 692 meV per atom. For the raw total energy, the calculation gives -6.34 eV/atom. The size of the total moment is 0.0392 μB/atom. As for the polymorph energy (0 for the lowest one): 1.040 eV per atom.

Unit cell a=4.579 b=4.579 c=4.579 alpha=60.00 beta=60.00 gamma=60.00
Fractional coordinates of all 3 atoms:
Au (0.250, 0.250, 0.250)
Cu (0.000, 0.000, 0.000)
Pu (0.750, 0.750, 0.750)

***

Copy entry 6 word for word.
The following is a PBE calculation of a relaxed structure of TbSnTe3Au, from OQMD via LeMat-Bulk.

## Properties
For the raw total energy, the calculation gives -4.19 eV/atom. The size of the total moment is 0.0000 μB/atom. As for the polymorph energy (0 for the lowest one): 0.031 eV per atom.

Unit cell a=10.183 b=10.183 c=8.775 alpha=100.90 beta=100.90 gamma=24.19
Fractional coordinates of all 12 atoms:
Au (0.446, 0.446, 0.286)
Au (0.554, 0.554, 0.714)
Sn (0.122, 0.122, 0.074)
Sn (0.878, 0.878, 0.926)
Tb (0.840, 0.840, 0.409)
Tb (0.160, 0.160, 0.591)
Te (0.500, 0.500, 0.000)
Te (0.311, 0.311, 0.146)
Te (0.678, 0.678, 0.348)
Te (0.000, 0.000, 0.500)
Te (0.322, 0.322, 0.652)
Te (0.689, 0.689, 0.854)

***

Q: Number 7 is which compound?
A: LiNbAl